# VAsF3

VAsF3 after structural relaxation (PBE+U, the Alexandria database).

a b c (Å): 4.1955 4.1955 4.1955
angles (deg): 90.00 90.00 90.00
Space group Pm-3m (No. 221)
One atom of each set of equivalent atoms:
V1 0.0000 0.0000 0.0000
As1 0.5000 0.5000 0.5000
F1 0.0000 0.0000 0.5000

Properties
Relative energy among the computed polymorphs ... 0 meV/atom